No. 1
# PBE-GGA BaNaCrN3, optimized geometry
data_BaNaCrN3
_chemical_formula_sum 'Ba2 Na2 Cr2 N6'
_space_group_name_H-M_alt 'P 1'
_space_group_IT_number 1
_cell_length_a 5.4798
_cell_length_b 5.9766
_cell_length_c 6.2260
_cell_angle_alpha 61.32
_cell_angle_beta 84.88
_cell_angle_gamma 79.28
loop_
_space_group_symop_operation_xyz
'x,y,z'
loop_
_atom_site_label
_atom_site_type_symbol
_atom_site_fract_x
_atom_site_fract_y
_atom_site_fract_z
Na1 Na 0.7500 0.4298 0.1404
Na2 Na 0.2500 0.5702 0.8596
N1 N 0.5340 0.1666 0.0739
N2 N 0.9660 0.7595 0.0739
N3 N 0.7500 0.2025 0.5950
N4 N 0.4660 0.8334 0.9261
N5 N 0.0340 0.2405 0.9261
N6 N 0.2500 0.7975 0.4050
Cr1 Cr 0.7500 0.0454 0.9092
Cr2 Cr 0.2500 0.9546 0.0908
Ba1 Ba 0.7500 0.7379 0.5241
Ba2 Ba 0.2500 0.2621 0.4759
# * volume: 176 Å³/cell
# * formation energy (no corrections): -0.43 eV/atom
# * M_tot: 0.00 μB/f.u.

***

No. 2
# PBE-GGA BaNdCrN4, optimized geometry
data_BaNdCrN4
_chemical_formula_sum 'Ba2 Nd2 Cr2 N8'
_space_group_name_H-M_alt 'P 1'
_space_group_IT_number 1
_cell_length_a 5.9358
_cell_length_b 5.7423
_cell_length_c 7.5024
_cell_angle_alpha 90.00
_cell_angle_beta 106.96
_cell_angle_gamma 90.00
loop_
_space_group_symop_operation_xyz
'x,y,z'
loop_
_atom_site_label
_atom_site_type_symbol
_atom_site_fract_x
_atom_site_fract_y
_atom_site_fract_z
N1 N 0.0464 0.5114 0.2910
N2 N 0.5810 0.2500 0.8228
N3 N 0.9536 0.4886 0.7090
N4 N 0.0464 0.9886 0.2910
N5 N 0.9536 0.0114 0.7090
N6 N 0.4123 0.7500 0.5488
N7 N 0.5877 0.2500 0.4512
N8 N 0.4190 0.7500 0.1772
Nd1 Nd 0.2195 0.2500 0.5525
Nd2 Nd 0.7805 0.7500 0.4475
Cr1 Cr 0.7657 0.2500 0.6780
Cr2 Cr 0.2343 0.7500 0.3220
Ba1 Ba 0.7146 0.7500 0.9248
Ba2 Ba 0.2854 0.2500 0.0752
# * volume: 245 Å³/cell
# * formation energy (no corrections): -0.73 eV/atom
# * M_tot: 1.02 μB/f.u.